Record 1
Density functional theory data (GGA-PBE) for NiHPdRh2 after structural relaxation.

Geometry as POSCAR:
```
NiHPdRh2
1.0
3.864 0.000 0.000
0.000 3.864 0.000
0.000 0.000 3.924
H Ni Rh Pd
1 1 2 1
Direct
0.000 0.000 0.000 H
0.500 0.500 0.500 Ni
0.500 0.000 0.000 Rh
0.000 0.500 0.000 Rh
0.000 0.000 0.500 Pd
```

Spin magnetization: 0.3869 μB per atom
Symmetry: P4/mmm, No. 123

=====

Record 2
Density functional theory data (GGA-PBE) for NiHPdRh2 after structural relaxation.

Geometry as POSCAR:
```
NiHPdRh2
1.0
3.868 0.000 0.000
0.000 3.868 0.000
0.000 0.000 3.782
Ni H Rh Pd
1 1 2 1
Direct
0.000 0.000 0.500 Ni
0.000 0.000 0.000 H
0.000 0.500 0.000 Rh
0.500 0.000 0.000 Rh
0.500 0.500 0.500 Pd
```

Spin magnetization: 0.2617 μB per atom
Symmetry: P4/mmm, No. 123

=====

Record 3
Density functional theory data (GGA-PBE) for Sc2Ni6HPd after structural relaxation.

Geometry as POSCAR:
```
Sc2Ni6HPd
1.0
5.095 0.015 0.014
-0.021 6.505 1.211
2.530 4.110 4.619
Ni Pd Sc H
6 1 2 1
Direct
0.657 0.712 0.161 Ni
0.343 0.288 0.839 Ni
0.181 0.711 0.161 Ni
0.819 0.289 0.839 Ni
0.195 0.175 0.610 Ni
0.805 0.825 0.390 Ni
0.500 0.500 0.000 Pd
0.235 0.811 0.531 Sc
0.765 0.189 0.469 Sc
0.000 0.000 0.000 H
```

Spin magnetization: 0.0000 μB per atom
Symmetry: C2/m, No. 12

=====

Record 4
Density functional theory data (GGA-PBE) for ScNi4H8Pd after structural relaxation.

Geometry as POSCAR:
```
ScNi4H8Pd
1.0
5.198 0.000 0.000
2.599 4.502 0.000
2.599 1.501 4.549
H Ni Pd Sc
8 4 1 1
Direct
0.760 0.760 0.721 H
0.245 0.823 0.687 H
0.245 0.245 0.687 H
0.823 0.245 0.687 H
0.741 0.232 0.287 H
0.219 0.219 0.343 H
0.232 0.741 0.287 H
0.741 0.741 0.287 H
0.997 0.997 0.500 Ni
0.997 0.506 0.500 Ni
0.632 0.632 0.103 Ni
0.506 0.997 0.500 Ni
0.998 0.998 0.006 Pd
0.365 0.365 0.906 Sc
```

Spin magnetization: 0.0000 μB per atom
Symmetry: R3m, No. 160

=====

Record 5
Density functional theory data (GGA-PBE) for ScNiHPd2 after structural relaxation.

Geometry as POSCAR:
```
ScNiHPd2
1.0
-1.089 -0.422 -3.727
3.006 -2.419 -0.605
-2.394 -3.241 1.066
Ni Pd Sc H
1 2 1 1
Direct
0.500 0.500 0.500 Ni
0.500 0.000 0.000 Pd
0.000 0.500 0.000 Pd
0.000 0.000 0.500 Sc
0.000 0.000 0.000 H
```

Spin magnetization: 0.0000 μB per atom
Symmetry: P4/mmm, No. 123

=====

Record 6
Density functional theory data (GGA-PBE) for ScNiHPd2 after structural relaxation.

Geometry as POSCAR:
```
ScNiHPd2
1.0
4.031 0.000 0.000
0.000 4.031 0.000
0.000 0.000 3.841
Sc Pd H Ni
1 2 1 1
Direct
0.500 0.500 0.500 Sc
0.500 0.000 0.000 Pd
0.000 0.500 0.000 Pd
0.000 0.000 0.000 H
0.000 0.000 0.500 Ni
```

Spin magnetization: 0.0000 μB per atom
Symmetry: P4/mmm, No. 123

=====

Record 7
Density functional theory data (GGA-PBE) for ScNi3H8Pd2 after structural relaxation.

Geometry as POSCAR:
```
ScNi3H8Pd2
1.0
5.265 0.000 0.000
2.633 4.560 0.000
2.633 1.520 4.611
Pd H Ni Sc
2 8 3 1
Direct
0.134 0.134 0.597 Pd
0.497 0.497 0.508 Pd
0.743 0.324 0.190 H
0.324 0.743 0.190 H
0.267 0.267 0.199 H
0.720 0.720 0.841 H
0.710 0.245 0.800 H
0.245 0.710 0.800 H
0.245 0.245 0.800 H
0.743 0.743 0.190 H
0.498 0.003 0.002 Ni
0.498 0.498 0.002 Ni
0.003 0.498 0.002 Ni
0.866 0.866 0.402 Sc
```

Spin magnetization: 0.0000 μB per atom
Symmetry: R3m, No. 160

=====

Record 8
Density functional theory data (GGA-PBE) for Sc2Ni2H6Pd after structural relaxation.

Geometry as POSCAR:
```
Sc2Ni2H6Pd
1.0
4.672 0.000 0.000
2.336 4.046 0.000
2.336 1.349 5.041
H Ni Sc Pd
6 2 2 1
Direct
0.745 0.745 0.311 H
0.745 0.198 0.311 H
0.255 0.255 0.689 H
0.255 0.802 0.689 H
0.802 0.255 0.689 H
0.198 0.745 0.311 H
0.601 0.601 0.197 Ni
0.399 0.399 0.803 Ni
0.226 0.226 0.321 Sc
0.774 0.774 0.679 Sc
0.000 0.000 0.000 Pd
```

Spin magnetization: 0.0000 μB per atom
Symmetry: R-3m, No. 166

=====

| no. | total DFT energy (no corrections) (eV/atom) |
| --- | --- |
| 1 | -5.7148 |
| 2 | -5.7436 |
| 3 | -5.8995 |
| 4 | -4.5183 |
| 5 | -5.6651 |
| 6 | -5.7370 |
| 7 | -4.5313 |
| 8 | -4.7900 |